--- w ---
# KLiAg (PBE, relaxed)
data_KLiAg
_cell_length_a 7.218
_cell_length_b 7.218
_cell_length_c 7.218
_cell_angle_alpha 90.00
_cell_angle_beta 90.00
_cell_angle_gamma 90.00
_symmetry_space_group_name_H-M 'F -4 3 m'
_symmetry_Int_Tables_number 216
_symmetry_space_group_name_Hall 'F -4 2 3'
loop_
_atom_site_label
_atom_site_fract_x
_atom_site_fract_y
_atom_site_fract_z
K1 0.000 0.000 0.000
Li1 0.250 0.250 0.250
Ag1 0.000 0.000 0.500
# Fermi-level density of states   0.54 states/eV per atom
# V   94.0 Å³/f.u.
# Spin magnetization   0.0 μB/f.u.

***

--- x ---
# KLiAg (PBE, relaxed)
data_KLiAg
_cell_length_a 3.770
_cell_length_b 3.770
_cell_length_c 12.213
_cell_angle_alpha 90.00
_cell_angle_beta 90.00
_cell_angle_gamma 90.00
_symmetry_space_group_name_H-M 'I 4 m m'
_symmetry_Int_Tables_number 107
_symmetry_space_group_name_Hall 'I 4 -2'
loop_
_atom_site_label
_atom_site_fract_x
_atom_site_fract_y
_atom_site_fract_z
K1 0.000 0.000 0.000
Li1 0.000 0.000 0.733
Ag1 0.000 0.000 0.290
# Fermi-level density of states   0.49 states/eV per atom
# V   86.8 Å³/f.u.
# Spin magnetization   0.0 μB/f.u.

***

Referenced to the most stable arrangement, the calculated values in meV/atom are w 195; x 0.